(1)
! NbTl3V2S6 GGA-PBE relaxed; values from VASP
&SYSTEM
  ibrav = 0, nat = 12, ntyp = 4
/
ATOMIC_SPECIES
Nb 92.91 Nb.upf
Tl 204.38 Tl.upf
V 50.94 V.upf
S 32.06 S.upf
CELL_PARAMETERS angstrom
5.8734 -0.1173 -0.6397
-3.0369 5.0287 -0.6397
-1.8817 -3.2581 9.3387
ATOMIC_POSITIONS angstrom
Nb 0.0000 0.0000 0.0000
Tl -2.4564 2.5211 4.0296
Tl 3.4113 -0.8678 4.0296
Tl 0.4774 0.8267 4.0296
V 0.1974 3.1608 -0.6397
V 2.6392 1.7506 -0.6397
S 1.8661 -0.3695 6.9353
S 2.0462 3.5430 0.6759
S -0.9113 2.0228 1.1240
S -1.2527 1.4317 6.9353
S -1.0914 -1.8897 7.3834
S 2.2075 0.2216 1.1240
! total magnetization: 0.00 μB/cell
! SG: No. 12



(2)
! Nb2Tl2VS6 GGA-PBE relaxed; values from VASP
&SYSTEM
  ibrav = 0, nat = 11, ntyp = 4
/
ATOMIC_SPECIES
Nb 92.91 Nb.upf
Tl 204.38 Tl.upf
V 50.94 V.upf
S 32.06 S.upf
CELL_PARAMETERS angstrom
6.0262 -0.0634 0.0802
-3.0336 5.2073 0.0802
-1.0125 -1.7404 7.8861
ATOMIC_POSITIONS angstrom
Nb -0.2958 2.4498 4.0233
Nb 2.2758 0.9537 4.0233
Tl 4.4415 0.8585 0.0802
Tl -1.4489 4.2854 0.0802
V -0.5063 -0.8702 3.9430
S 1.5220 2.6161 5.6551
S -1.5541 0.8054 5.3732
S 0.4581 0.7874 2.3915
S 1.4682 -0.9530 5.3732
S 3.5342 2.5981 2.6734
S 0.5118 4.3565 2.6734
! total magnetization: 1.82 μB/cell
! SG: No. 12



(3)
! YNb2TlS GGA-PBE relaxed; values from VASP
&SYSTEM
  ibrav = 0, nat = 5, ntyp = 4
/
ATOMIC_SPECIES
Y 88.91 Y.upf
Tl 204.38 Tl.upf
S 32.06 S.upf
Nb 92.91 Nb.upf
CELL_PARAMETERS angstrom
-3.2856 -2.9963 -1.3343
1.7003 0.3188 -4.9026
2.9074 -3.5347 0.7785
ATOMIC_POSITIONS angstrom
Y 0.8502 0.1594 -2.4513
Tl 0.6611 -3.1061 -2.7293
S 0.0000 0.0000 0.0000
Nb 1.4537 -1.7674 0.3892
Nb -1.6428 -1.4981 -0.6672
! total magnetization: 0.00 μB/cell
! SG: No. 123



(4)
! ZrNb2Tl2S6 GGA-PBE relaxed; values from VASP
&SYSTEM
  ibrav = 0, nat = 11, ntyp = 4
/
ATOMIC_SPECIES
Zr 91.22 Zr.upf
Nb 92.91 Nb.upf
Tl 204.38 Tl.upf
S 32.06 S.upf
CELL_PARAMETERS angstrom
6.1464 0.0015 0.1319
-3.0366 5.3439 0.1319
-0.9981 -1.7157 7.8255
ATOMIC_POSITIONS angstrom
Zr -0.4991 -0.8578 3.9127
Nb -0.2166 2.5552 4.0447
Nb 2.3283 1.0746 4.0447
Tl 4.5654 0.9213 0.1319
Tl -1.4556 4.4241 0.1319
S 1.5561 2.6748 5.7427
S -1.5907 0.9572 5.3981
S 0.5556 0.9550 2.3466
S 1.6183 -0.9097 5.3981
S 3.7024 2.6726 2.6912
S 0.4934 4.5395 2.6912
! total magnetization: 0.00 μB/cell
! SG: No. 12



(5)
! TmNb4S8 GGA-PBE relaxed; values from VASP
&SYSTEM
  ibrav = 0, nat = 13, ntyp = 3
/
ATOMIC_SPECIES
Tm 168.93 Tm.upf
Nb 92.91 Nb.upf
S 32.06 S.upf
CELL_PARAMETERS angstrom
6.6512 -0.0049 -1.7149
-3.8086 5.5495 -1.3701
-0.2184 -0.1211 7.4159
ATOMIC_POSITIONS angstrom
Tm -2.0135 2.7142 3.0229
Nb 0.5857 1.1423 -0.6356
Nb 2.2570 4.4022 -2.4494
Nb -1.4142 4.3117 -1.3885
Nb 4.0384 1.1118 5.7194
S 4.5472 0.1183 0.5094
S -0.6739 2.9126 0.6723
S 2.5971 2.7895 -0.4281
S 1.2422 0.2296 1.5573
S 1.3820 5.1939 2.7737
S 0.0272 2.6340 4.7590
S 3.2982 2.5109 3.6587
S -1.9230 5.3052 3.8216
! total magnetization: 0.00 μB/cell
! SG: No. 12



(6)
! UNb6S8 GGA-PBE relaxed; values from VASP
&SYSTEM
  ibrav = 0, nat = 15, ntyp = 3
/
ATOMIC_SPECIES
U 238.03 U.upf
Nb 92.91 Nb.upf
S 32.06 S.upf
CELL_PARAMETERS angstrom
6.6037 0.2426 0.2505
0.0365 6.6081 0.2505
0.0365 0.0377 6.6127
ATOMIC_POSITIONS angstrom
U 0.0000 0.0000 0.0000
Nb 3.9359 3.1001 5.5413
Nb 2.9758 5.4087 4.2070
Nb 5.3132 4.1036 3.2769
Nb 2.7408 3.7882 1.5724
Nb 3.7009 1.4796 2.9068
Nb 1.3635 2.7847 3.8369
S 5.1306 5.2932 5.4664
S 1.5462 1.5952 1.6474
S 4.1083 5.8979 1.9433
S 5.7669 1.8042 4.3505
S 1.6234 4.1609 5.9574
S 2.5685 0.9904 5.1704
S 0.9098 5.0841 2.7632
S 5.0533 2.7274 1.1563
! total magnetization: 2.95 μB/cell
! SG: No. 148



(7)
! UNb2S5 GGA-PBE relaxed; values from VASP
&SYSTEM
  ibrav = 0, nat = 16, ntyp = 3
/
ATOMIC_SPECIES
U 238.03 U.upf
Nb 92.91 Nb.upf
S 32.06 S.upf
CELL_PARAMETERS angstrom
-0.0314 -2.8730 -4.1325
4.9686 3.9519 0.2798
6.3084 -8.3384 5.7492
ATOMIC_POSITIONS angstrom
U 7.5171 -6.2676 1.2352
U 3.7285 -0.9920 0.6613
Nb 6.1254 -3.5512 -0.6427
Nb 3.5588 -0.1587 -2.9818
Nb 5.1202 -3.7083 2.5392
Nb 7.6868 -7.1008 4.8783
S 10.0747 -6.4917 1.3716
S 8.4098 -4.2911 -0.1457
S 6.2137 -1.8794 1.2594
S 3.8641 1.2264 -0.8820
S 4.1916 -2.1853 -1.5776
S 7.0540 -5.0742 3.4742
S 5.0319 -5.3802 0.6372
S 7.3815 -8.4859 2.7785
S 1.1709 -0.7678 0.5249
S 2.8358 -2.9685 2.0422
! total magnetization: 4.05 μB/cell
! SG: No. 63



(8)
! UNb2S6 GGA-PBE relaxed; values from VASP
&SYSTEM
  ibrav = 0, nat = 9, ntyp = 3
/
ATOMIC_SPECIES
U 238.03 U.upf
Nb 92.91 Nb.upf
S 32.06 S.upf
CELL_PARAMETERS angstrom
4.5095 0.0000 0.0000
2.2547 6.2691 -0.6308
2.2547 1.8626 7.0918
ATOMIC_POSITIONS angstrom
U 2.2547 4.0659 3.2305
Nb 4.5095 6.6722 6.0611
Nb 4.5095 1.4595 0.3999
S 6.7642 5.6857 6.0405
S 2.2547 2.4460 0.4205
S 6.7642 5.8200 1.1555
S 4.5095 5.4470 3.7882
S 2.2547 2.3117 5.3055
S 4.5095 2.6847 2.6728
! total magnetization: 1.84 μB/cell
! SG: No. 12



(9)
! U3NbS6 GGA-PBE relaxed; values from VASP
&SYSTEM
  ibrav = 0, nat = 20, ntyp = 3
/
ATOMIC_SPECIES
U 238.03 U.upf
Nb 92.91 Nb.upf
S 32.06 S.upf
CELL_PARAMETERS angstrom
3.9321 0.0000 0.0000
0.0000 11.1765 -0.1340
0.0000 -3.8842 10.8454
ATOMIC_POSITIONS angstrom
U 2.9490 2.2629 8.9723
U 0.9830 5.0293 1.7391
U 2.9490 5.6158 5.4447
U 0.9830 1.6765 5.2667
U 2.9490 1.4544 0.4888
U 0.9830 5.8379 10.2226
Nb 2.9490 7.5417 8.1529
Nb 0.9830 -0.2495 2.5585
S 2.9490 3.0398 6.4073
S 0.9830 4.2524 4.3041
S 2.9490 9.9762 1.2235
S 0.9830 -2.6840 9.4880
S 2.9490 4.1411 0.0158
S 0.9830 3.1512 10.6957
S 2.9490 6.5322 2.8762
S 0.9830 0.7601 7.8352
S 2.9490 0.0005 4.3563
S 0.9830 7.2917 6.3551
S 2.9490 5.1533 8.5205
S 0.9830 2.1390 2.1910
! total magnetization: 11.88 μB/cell
! SG: No. 11



(10)
! UNbS3 GGA-PBE relaxed; values from VASP
&SYSTEM
  ibrav = 0, nat = 20, ntyp = 3
/
ATOMIC_SPECIES
U 238.03 U.upf
Nb 92.91 Nb.upf
S 32.06 S.upf
CELL_PARAMETERS angstrom
7.1978 0.0000 0.0000
0.0000 6.0185 0.0000
0.0000 0.0000 8.9111
ATOMIC_POSITIONS angstrom
U 2.7713 3.3785 6.6833
U 0.8276 0.3692 2.2278
U 4.4265 2.6400 2.2278
U 6.3702 5.6492 6.6833
Nb 0.0000 3.0092 0.0000
Nb 3.5989 0.0000 4.4556
Nb 3.5989 0.0000 0.0000
Nb 0.0000 3.0092 4.4556
S 5.8680 0.9185 0.5717
S 4.9287 3.9277 5.0273
S 4.9287 3.9277 8.3394
S 1.3298 5.1000 5.0273
S 1.3298 5.1000 8.3394
S 2.2691 2.0908 3.8838
S 2.2691 2.0908 0.5717
S 5.8680 0.9185 3.8838
S 0.4727 1.9898 6.6833
S 3.1262 4.9990 2.2278
S 6.7251 4.0287 2.2278
S 4.0716 1.0195 6.6833
! total magnetization: 11.24 μB/cell
! SG: No. 62



(11)
! UNb2S5 GGA-PBE relaxed; values from VASP
&SYSTEM
  ibrav = 0, nat = 8, ntyp = 3
/
ATOMIC_SPECIES
U 238.03 U.upf
Nb 92.91 Nb.upf
S 32.06 S.upf
CELL_PARAMETERS angstrom
5.1958 0.8531 1.7449
3.7399 7.2632 1.2560
0.6546 0.4265 6.6589
ATOMIC_POSITIONS angstrom
U 4.7951 4.2714 4.8299
Nb 6.5940 4.6979 8.0815
Nb 2.9962 3.8449 1.5783
S 4.7003 5.9827 6.9729
S 6.0130 5.9827 3.0640
S 2.1972 3.8449 3.9574
S 4.8899 2.5601 2.6869
S 3.5772 2.5601 6.5958
! total magnetization: 2.68 μB/cell
! SG: No. 12



(12)
! U2NbS4 GGA-PBE relaxed; values from VASP
&SYSTEM
  ibrav = 0, nat = 14, ntyp = 3
/
ATOMIC_SPECIES
U 238.03 U.upf
Nb 92.91 Nb.upf
S 32.06 S.upf
CELL_PARAMETERS angstrom
-3.5215 -0.2741 0.5075
2.7617 -4.5435 4.1638
0.6291 8.6782 9.0524
ATOMIC_POSITIONS angstrom
U 0.5313 2.3902 4.9773
U -0.4487 4.4122 11.8149
U 0.3180 -0.5515 1.9088
U -0.6620 1.4704 8.7463
Nb -0.9916 4.9811 8.3554
Nb 0.8608 -1.1204 5.3682
S -1.1144 -1.7271 3.8802
S -0.9549 0.4723 6.1744
S 0.9836 5.5878 9.8434
S 0.8242 3.3884 7.5492
S -0.2900 1.7007 11.4515
S 0.1593 2.1600 2.2721
S -1.7607 -0.1371 0.2537
S -1.4462 4.2021 4.7799
! total magnetization: 9.73 μB/cell
! SG: No. 63



ΔE_f (raw) values, unit eV per atom, following the record order: -0.72, -0.82, -0.14, -0.99, -1.24, -0.94, -1.02, -0.93, -1.21, -1.17, -0.94, -1.01.